Material: Na2ScPaS4
Method: DFT, PBE-GGA
State: optimized geometry

The volume is 21.78 A^3/atom. As for the crystal system: monoclinic. As for the energy relative to the elements, uncorrected: -12.61 eV per formula unit. The uncorrected energy is -47.6 eV for the cell shown.

Structure (POSCAR):
```
Na2ScPaS4
1.0
-1.7168 1.9248 2.8507
2.4435 -4.3867 4.4335
4.7294 5.2664 -0.7075
Na Sc Pa S
2 1 1 4
Cartesian
1.5063 3.5956 1.0716
3.5865 0.4398 1.8630
0.0000 0.0000 0.0000
0.3633 -1.2310 3.6421
0.7527 1.1077 2.2975
4.7034 1.6968 4.2791
4.2335 2.9744 0.5413
2.9394 -2.0948 3.1846
```



Material: Cu2NiOs
Method: DFT, PBE-GGA
State: optimized geometry

The volume is 12.48 A^3/atom. For the distance to the lowest polymorph of the same formula, the calculation gives 0.1288 eV per atom. As for the formation energy from the elements: 0.272 eV per atom. As for the crystal system: orthorhombic. The uncorrected energy is -24.1 eV for the cell shown.

Structure (POSCAR):
```
Cu2NiOs
1.0
-4.6572 1.8427 0.8723
-1.6428 0.5725 4.7769
3.2442 1.1690 -3.7355
Cu Ni Os
2 1 1
Cartesian
-6.2414 2.3927 5.5968
-3.2085 1.2300 2.8771
-2.2814 2.1096 -0.0193
-0.7743 1.4745 1.9330
```



Material: EuErPd2
Method: DFT, PBE-GGA
State: optimized geometry

The volume is 25.30 A^3/atom. For the distance to the lowest polymorph of the same formula, the calculation gives 0.1692 eV per atom. As for the formation energy from the elements: -0.651 eV per atom. As for the crystal system: trigonal. The uncorrected energy is -27.8 eV for the cell shown.

Structure (POSCAR):
```
EuErPd2
1.0
4.1509 0.0000 0.0000
2.0754 3.5948 0.0000
2.0754 1.1983 6.7811
Eu Pd Er
1 2 1
Cartesian
4.1509 2.3965 3.3906
6.2263 3.5948 5.2682
2.0754 1.1983 1.5130
0.0000 0.0000 0.0000
```



Material: Pm3Tm2Mg7
Method: DFT, PBE-GGA
State: optimized geometry

The volume is 28.84 A^3/atom. As for the formation energy from the elements: 0.089 eV per atom. As for the crystal system: orthorhombic. The uncorrected energy is -33.3 eV for the cell shown.

Structure (POSCAR):
```
Pm3Tm2Mg7
1.0
-0.0736 -3.9640 3.3496
2.4786 -2.9309 -3.4141
10.1276 5.3846 6.5948
Pm Tm Mg
3 2 7
Cartesian
1.2025 -3.4475 -0.0323
4.9064 -2.1704 1.5604
7.6262 0.6601 4.9699
9.3218 1.3213 1.7684
3.2844 1.1324 1.4123
9.6838 3.3389 4.1640
6.4948 0.3466 0.5528
0.0000 0.0000 0.0000
2.9224 -0.8851 -0.9833
1.6539 -1.3991 2.4018
10.8787 -0.1112 4.1285
6.1114 2.1072 2.6279
```



Material: NaZnSnIr
Method: DFT, PBE-GGA
State: optimized geometry

The volume is 22.57 A^3/atom. As for the formation energy from the elements: -0.085 eV per atom. As for the crystal system: trigonal. The uncorrected energy is -15.8 eV for the cell shown.

Structure (POSCAR):
```
NaZnSnIr
1.0
4.3142 0.0000 0.0000
2.1571 3.7362 0.0000
2.1571 1.2454 5.6013
Na Zn Sn Ir
1 1 1 1
Cartesian
6.4713 3.7362 3.0410
2.1571 1.2454 1.3233
2.1571 1.2454 5.2275
4.3142 2.4908 0.6159
```



Material: SrIrRu2
Method: DFT, PBE-GGA
State: optimized geometry

The volume is 17.93 A^3/atom. For the distance to the lowest polymorph of the same formula, the calculation gives 0.4132 eV per atom. As for the formation energy from the elements: 0.811 eV per atom. As for the crystal system: cubic. The uncorrected energy is -25.9 eV for the cell shown.

Structure (POSCAR):
```
SrIrRu2
1.0
-1.1012 3.0251 3.3737
-3.9101 2.5215 -0.3144
-3.5827 -0.8882 2.8499
Ir Ru Sr
1 2 1
Cartesian
-4.2970 2.3292 2.9546
0.0000 0.0000 0.0000
-2.1485 1.1646 1.4773
-6.4455 3.4939 4.4319
```



Material: RbNaF3
Method: DFT, PBE-GGA
State: optimized geometry

The volume is 17.74 A^3/atom. For the distance to the lowest polymorph of the same formula, the calculation gives 0.0000 eV per atom. As for the crystal system: monoclinic. As for the energy relative to the elements, uncorrected: -10.80 eV per formula unit. The uncorrected energy is -74.8 eV for the cell shown.

Structure (POSCAR):
```
RbNaF3
1.0
-0.3933 -1.5828 -5.6526
7.7520 0.3237 -0.6301
-0.3223 -7.4861 2.1187
Rb Na F
4 4 12
Cartesian
4.6344 -2.9916 -1.0158
2.4020 -5.7537 -3.1482
0.5973 -6.8964 0.3590
6.4391 -1.8488 -4.5229
2.4652 -2.1141 -4.1773
0.8556 -3.0527 -0.7409
4.5711 -6.6311 0.0134
6.1807 -5.6926 -3.4230
2.6258 -4.9404 -0.3297
6.6629 -1.0357 -1.7048
1.0196 -3.3523 -2.9520
2.4012 -1.4122 -0.5298
6.0168 -5.3929 -1.2120
4.4105 -3.8048 -3.8342
-0.0813 -4.7307 -4.0905
7.1176 -4.0145 -0.0735
0.3734 -7.7095 -2.4592
4.6351 -7.3330 -3.6342
3.7400 -7.8836 -1.8166
3.2964 -0.8616 -2.3473
```



Material: CaTi3Se
Method: DFT, PBE-GGA
State: optimized geometry

The volume is 22.22 A^3/atom. For the distance to the lowest polymorph of the same formula, the calculation gives 1.6257 eV per atom. As for the crystal system: cubic. As for the energy relative to the elements, uncorrected: 8.21 eV per formula unit. The uncorrected energy is -21.0 eV for the cell shown.

Structure (POSCAR):
```
CaTi3Se
1.0
4.8074 0.0000 0.0000
0.0000 4.8074 0.0000
0.0000 0.0000 4.8074
Ca Se Ti
1 1 3
Cartesian
0.0000 0.0000 0.0000
2.4037 2.4037 2.4037
0.0000 2.4037 0.0000
0.0000 0.0000 2.4037
2.4037 0.0000 0.0000
```



Material: NiHSe2Br
Method: DFT, PBE-GGA
State: optimized geometry

The volume is 21.93 A^3/atom. For the distance to the lowest polymorph of the same formula, the calculation gives 0.0000 eV per atom. As for the crystal system: tetragonal. The uncorrected energy is -15.0 eV for the cell shown.

Structure (POSCAR):
```
NiHSe2Br
1.0
-1.7609 1.5741 -3.0102
-1.2049 -3.4595 -1.1042
-6.2179 0.8610 4.0876
Ni Se Br H
1 2 1 1
Cartesian
-4.5919 -0.5122 -0.0134
-0.6025 -1.7298 -0.5521
-0.8804 0.7870 -1.5051
-3.1090 0.4305 2.0438
0.0000 0.0000 0.0000
```



Material: PtNCl2
Method: DFT, PBE-GGA
State: optimized geometry

The volume is 15.59 A^3/atom. For the distance to the lowest polymorph of the same formula, the calculation gives 0.1576 eV per atom. As for the crystal system: trigonal. As for the energy relative to the elements, uncorrected: 5.96 eV per formula unit. The uncorrected energy is -12.1 eV for the cell shown.

Structure (POSCAR):
```
PtNCl2
1.0
1.7043 0.0000 8.2625
-0.8522 1.4760 8.2625
-0.8522 -1.4760 8.2625
N Pt Cl
1 1 2
Cartesian
0.0000 0.0000 0.0000
0.0000 0.0000 12.3938
0.0000 0.0000 23.0771
0.0000 0.0000 1.7105
```



Material: Mg2NbFeTe
Method: DFT, PBE-GGA
State: optimized geometry

The volume is 26.09 A^3/atom. As for the crystal system: tetragonal. As for the energy relative to the elements, uncorrected: 5.17 eV per formula unit. The uncorrected energy is -19.7 eV for the cell shown.

Structure (POSCAR):
```
Mg2NbFeTe
1.0
5.4461 0.0000 0.0000
0.0000 4.3974 0.0000
0.0000 0.0000 5.4461
Mg Nb Te Fe
2 1 1 1
Cartesian
0.0000 0.0000 2.7230
2.7230 0.0000 0.0000
0.0000 0.0000 0.0000
2.7230 2.1987 2.7230
0.0000 2.1987 0.0000
```



Material: PmSmN2
Method: DFT, PBE-GGA
State: optimized geometry

The volume is 16.52 A^3/atom. For the distance to the lowest polymorph of the same formula, the calculation gives 0.0000 eV per atom. As for the crystal system: monoclinic. As for the energy relative to the elements, uncorrected: -5.83 eV per formula unit. The uncorrected energy is -127.8 eV for the cell shown.

Structure (POSCAR):
```
PmSmN2
1.0
5.0915 0.0000 0.0000
0.0000 5.0917 -0.1975
0.0000 0.3948 10.1775
Pm Sm N
4 4 8
Cartesian
1.2726 2.8003 6.2621
3.8188 2.6863 3.7179
1.2726 5.4295 8.7079
3.8188 0.0570 1.2721
1.2733 5.2308 3.6195
3.8182 0.2558 6.3605
1.2733 2.6042 1.1730
3.8182 2.8824 8.8070
3.8197 0.3677 8.8953
1.2718 5.1189 1.0847
3.8197 2.7704 6.2722
1.2718 2.7161 3.7078
3.8169 2.5745 1.1649
1.2746 2.9121 8.8151
3.8169 0.1688 3.8251
1.2746 5.3177 6.1549
```



Material: PuMnSn2
Method: DFT, PBE-GGA
State: optimized geometry

The volume is 21.81 A^3/atom. As for the formation energy from the elements: -0.063 eV per atom. As for the crystal system: tetragonal. The uncorrected energy is -31.8 eV for the cell shown.

Structure (POSCAR):
```
PuMnSn2
1.0
-0.0526 0.3770 -3.2385
-0.6633 -3.1724 -0.3585
-8.0320 1.6430 0.3218
Mn Sn Pu
1 2 1
Cartesian
-0.3580 -1.3977 -1.7985
-1.7029 0.3483 0.0682
-6.3291 1.2946 0.2536
-4.3740 -0.5762 -1.6376
```



Material: SmTmAg2Se4
Method: DFT, PBE-GGA
State: optimized geometry

The volume is 24.61 A^3/atom. As for the crystal system: monoclinic. As for the energy relative to the elements, uncorrected: -9.23 eV per formula unit. The uncorrected energy is -38.1 eV for the cell shown.

Structure (POSCAR):
```
SmTmAg2Se4
1.0
-0.7264 -2.0590 3.5824
6.7110 -1.4738 0.5137
3.4521 5.2130 3.6962
Sm Tm Ag Se
1 1 2 4
Cartesian
5.0815 1.8696 2.1050
6.4445 3.4466 5.7443
3.4521 5.2130 3.6962
1.3629 1.5770 3.6393
7.6217 2.8616 3.1902
1.8150 -1.1814 4.6021
5.4988 -0.8571 3.0789
3.9380 2.5373 4.7134
```



Material: Pr12Os3C5
Method: DFT, PBE-GGA
State: optimized geometry

The volume is 25.89 A^3/atom. As for the formation energy from the elements: 0.137 eV per atom. As for the crystal system: cubic. The uncorrected energy is -537.7 eV for the cell shown.

Structure (POSCAR):
```
Pr12Os3C5
1.0
13.9081 0.0000 0.0000
-4.6360 13.1127 0.0000
-4.6360 -6.5563 11.3559
Os C Pr
12 20 48
Cartesian
8.1130 4.0977 1.4195
8.1130 9.0149 1.4195
-1.1590 5.7368 7.0974
1.1590 -0.8195 4.2585
10.4311 0.0000 2.8390
1.1590 6.5563 2.8390
3.4770 0.0000 8.5169
-5.7950 6.5563 8.5169
3.4770 7.3759 7.0974
5.7950 0.8195 4.2585
-3.4770 -2.4586 9.9364
-3.4770 2.4586 9.9364
-1.1590 3.2782 2.8390
-2.3180 6.5563 0.0000
0.0000 0.0000 0.0000
3.4770 2.4586 1.4195
4.6360 -3.2782 5.6779
4.6360 6.5563 0.0000
-3.4770 7.3759 4.2585
5.7950 -4.0977 9.9364
5.7950 5.7368 4.2585
1.1590 -3.2782 8.5169
3.4770 9.8345 2.8390
2.3180 3.2782 5.6779
6.9540 0.0000 0.0000
-2.3180 -3.2782 5.6779
-1.1590 0.8195 7.0974
-1.1590 10.6540 1.4195
-4.6360 3.2782 5.6779
8.1130 -0.8195 7.0974
1.1590 4.0977 9.9364
5.7950 3.2782 8.5169
9.1273 1.4837 0.3588
0.1448 4.3307 4.5724
10.4029 2.9627 3.2958
5.8232 1.9053 1.4643
1.6436 4.8607 7.7013
9.8733 6.6647 2.0234
-1.1309 7.6137 4.7601
-3.5052 11.2074 1.4643
0.6744 8.2520 7.7013
6.3528 6.4480 2.0234
7.0988 3.7093 4.2136
7.0988 11.6290 0.3588
-3.9616 5.8217 6.0367
2.9192 4.7499 0.9179
-4.7808 9.4034 4.2136
2.4628 -2.2256 6.7834
-0.6744 0.9610 2.3822
2.9192 8.2544 1.1055
5.8232 10.1500 3.2958
-0.6012 4.8582 1.1055
-2.9924 7.5174 8.9737
3.4489 5.4989 4.7601
6.2796 7.2910 6.0367
5.2372 -1.8064 10.4380
1.1871 1.0574 6.5958
-1.6436 -0.7346 5.3191
-0.6012 8.3628 0.9179
-1.1871 -3.5936 8.0601
7.6284 -0.9610 2.3822
5.2372 1.6981 10.2504
1.7168 -1.6981 10.2504
2.1733 8.7819 4.5724
5.3104 5.5953 8.9737
9.4168 -2.8471 7.1422
8.5976 0.7346 5.3191
-2.4628 -5.0727 10.9971
1.7168 1.8064 10.4380
3.9616 -1.6957 3.6546
-1.7168 0.1083 9.3325
-2.4628 2.8471 7.1422
8.1412 -4.6511 9.8916
5.7669 -1.0574 6.5958
-1.1871 4.6511 9.8916
-5.2372 -0.1083 9.3325
2.9924 1.6957 3.6546
-5.7669 3.5936 8.0601
4.4913 2.2256 6.7834
-4.4913 5.0727 10.9971
```



Material: AlTe2Os
Method: DFT, PBE-GGA
State: optimized geometry

The volume is 25.72 A^3/atom. As for the crystal system: monoclinic. As for the energy relative to the elements, uncorrected: 0.12 eV per formula unit. The uncorrected energy is -21.1 eV for the cell shown.

Structure (POSCAR):
```
AlTe2Os
1.0
4.6184 0.0060 -0.0208
2.9479 3.5552 -0.0208
2.0764 0.9773 6.2622
Te Os Al
2 1 1
Cartesian
2.5838 1.2161 5.6848
2.6696 1.2565 2.1035
6.7595 3.1815 3.8851
4.5273 2.1308 3.9196
```



Material: Ni4Te
Method: DFT, PBE-GGA
State: optimized geometry

The volume is 12.68 A^3/atom. For the distance to the lowest polymorph of the same formula, the calculation gives 0.0000 eV per atom. As for the crystal system: tetragonal. As for the energy relative to the elements, uncorrected: 0.16 eV per formula unit. The uncorrected energy is -26.1 eV for the cell shown.

Structure (POSCAR):
```
Ni4Te
1.0
0.0802 0.2876 4.5085
-2.4654 2.2254 -3.0635
-1.7148 -4.1520 -0.4861
Ni Te
4 1
Cartesian
-2.8125 -1.8912 -1.3534
-2.6435 0.2829 0.0209
-1.2875 0.2523 2.3124
-1.4565 -1.9218 0.9380
0.0000 0.0000 0.0000
```



Material: HoGe3Os2
Method: DFT, PBE-GGA
State: optimized geometry

The volume is 17.58 A^3/atom. For the distance to the lowest polymorph of the same formula, the calculation gives 0.1509 eV per atom. As for the formation energy from the elements: -0.146 eV per atom. As for the crystal system: orthorhombic. The uncorrected energy is -83.5 eV for the cell shown.

Structure (POSCAR):
```
HoGe3Os2
1.0
5.7854 -0.0196 -0.0216
0.0197 6.0665 -0.1436
0.0197 -0.7151 6.0259
Ho Ge Os
2 6 4
Cartesian
1.4609 2.0159 2.2158
4.3638 3.3160 3.6449
4.3499 2.5236 0.6535
4.3499 0.4126 2.5740
1.4748 2.8082 5.2072
4.3771 5.1816 5.6955
1.4477 0.1503 0.1652
1.4748 4.9192 3.2867
2.9124 4.5654 1.2023
0.0197 4.5754 1.2129
0.0197 0.7761 4.6694
2.9124 0.7665 4.6584
```



Material: Sr2BeSnO5
Method: DFT, PBE-GGA
State: optimized geometry

The volume is 13.62 A^3/atom. As for the crystal system: orthorhombic. As for the energy relative to the elements, uncorrected: -21.43 eV per formula unit. The uncorrected energy is -114.6 eV for the cell shown.

Structure (POSCAR):
```
Sr2BeSnO5
1.0
-1.4833 0.2940 -2.9080
-4.5196 -4.0776 3.7402
-5.0757 8.8186 3.4806
Sr Be Sn O
4 2 2 10
Cartesian
-8.8819 4.5871 3.1471
-4.4410 5.1640 2.7874
-3.0529 1.9355 1.7529
-5.8519 -1.4942 0.9867
-6.0138 7.7914 2.0081
-6.7756 0.2160 3.4779
-6.6383 2.4378 1.7854
-2.2170 -1.2655 1.0029
-3.6449 -2.5787 1.5984
-7.1900 6.6791 2.4956
-4.7861 7.1449 1.3165
-6.4862 3.4947 3.6618
-8.0463 0.9968 2.3579
-5.0121 3.4062 1.0538
-5.4113 1.0015 2.8615
-6.7446 -1.3246 3.3063
-3.6929 -0.0226 0.0342
-0.4959 -0.3687 0.2156
```



Material: DyTm3Au4
Method: DFT, PBE-GGA
State: optimized geometry

The volume is 22.67 A^3/atom. As for the formation energy from the elements: -0.883 eV per atom. As for the crystal system: trigonal. The uncorrected energy is -38.2 eV for the cell shown.

Structure (POSCAR):
```
DyTm3Au4
1.0
0.5543 2.1858 4.5009
-0.1518 -2.7888 4.1884
8.3076 -1.3323 2.4393
Tm Au Dy
3 4 1
Cartesian
2.1866 -0.4851 2.7817
6.5235 -1.4502 8.3470
4.3550 -0.9676 5.5643
3.4920 -1.0306 8.5165
7.3899 -1.3877 5.3946
5.2181 -0.9047 2.6121
1.3202 -0.5476 5.7341
0.0000 0.0000 0.0000
```



Material: AcPr3Dy2Se6
Method: DFT, PBE-GGA
State: optimized geometry

The volume is 26.94 A^3/atom. As for the crystal system: monoclinic. As for the energy relative to the elements, uncorrected: -21.66 eV per formula unit. The uncorrected energy is -70.2 eV for the cell shown.

Structure (POSCAR):
```
AcPr3Dy2Se6
1.0
7.3379 -0.0114 -0.0055
-3.6771 6.3501 -0.0055
-1.2264 -2.1234 6.9472
Ac Pr Dy Se
1 3 2 6
Cartesian
0.0000 0.0000 0.0000
-2.5546 4.2860 3.4681
4.9891 -0.0707 3.4681
1.2172 2.1077 3.4681
-0.0098 4.2322 -0.0055
3.6707 2.1065 -0.0055
3.7275 1.9904 5.2393
2.3737 4.1100 1.6277
-1.2930 2.2249 1.6969
-0.1388 4.2234 5.2393
0.0608 0.1053 5.3085
2.5733 -0.0081 1.6969
```